The following is a GGA-PBE calculation of an optimized crystal structure of CoTeIr2, from Alexandria.

abc: 8.6541 8.6541 8.6541
angles: 19.75 19.75 19.75
With the nearest neighbours (Å) after each atom.
Positions (direct):
1 Co 0.0000 0.0000 0.0000  6 Ir 2.60
2 Te 0.5000 0.5000 0.5000  6 Ir 2.86, 6 Te 2.97
3 Ir 0.2565 0.2565 0.2565  3 Co 2.60, 3 Te 2.86
4 Ir 0.7435 0.7435 0.7435  3 Co 2.60, 3 Te 2.86

- formation energy (no corrections) (meV per atom) = 565
- uncorrected energy (eV/atom) = -6.427
- excess energy over the best structure of this formula in the dataset (meV/atom) = 219
- DOS(E_F) (states/eV/cell) = 5.29